# 1
Computed, not measured: MgZrI2N after structural relaxation at the PBE level of DFT.

```
data_MgZrI2N
_chemical_formula_sum 'Mg1 Zr1 I2 N1'
_cell_length_a 6.0110
_cell_length_b 6.0110
_cell_length_c 4.0312
_cell_angle_alpha 90.00
_cell_angle_beta 90.00
_cell_angle_gamma 90.00
_symmetry_space_group_name_H-M 'P 4/m m m'
_symmetry_Int_Tables_number 123
_symmetry_space_group_name_Hall '-P 4 2'
loop_
_atom_site_label
_atom_site_type_symbol
_atom_site_fract_x
_atom_site_fract_y
_atom_site_fract_z
Mg1 Mg 0.0000 0.0000 0.0000
Zr1 Zr 0.5000 0.5000 0.5000
I1 I 0.0000 0.5000 0.5000
N1 N 0.5000 0.5000 0.0000
```

Results
magnetization: 0.43 μB/cell
final energy: -4.548 eV per atom
formation energy (no corrections): -234 meV/atom
N(E_F): 0.510 states/eV per atom

---

# 2
Computed, not measured: Sr2PmSb3Rh4 after structural relaxation at the PBE level of DFT.

```
data_Sr2PmSb3Rh4
_chemical_formula_sum 'Sr2 Pm1 Sb3 Rh4'
_cell_length_a 4.5311
_cell_length_b 4.5311
_cell_length_c 11.3496
_cell_angle_alpha 90.00
_cell_angle_beta 90.00
_cell_angle_gamma 90.00
_symmetry_space_group_name_H-M 'P -4 m 2'
_symmetry_Int_Tables_number 115
_symmetry_space_group_name_Hall 'P -4 -2'
loop_
_atom_site_label
_atom_site_type_symbol
_atom_site_fract_x
_atom_site_fract_y
_atom_site_fract_z
Sr1 Sr 0.0000 0.5000 0.2327
Pm1 Pm 0.0000 0.0000 0.5000
Sb1 Sb 0.0000 0.5000 0.8755
Sb2 Sb 0.5000 0.5000 0.5000
Rh1 Rh 0.0000 0.0000 0.0000
Rh2 Rh 0.0000 0.5000 0.6465
Rh3 Rh 0.5000 0.5000 0.0000
```

Results
magnetization: 0.00 μB/cell
final energy: -5.751 eV per atom
formation energy (no corrections): -762 meV/atom
N(E_F): 0.667 states/eV per atom

---

# 3
Computed, not measured: TlAg2Sb after structural relaxation at the PBE level of DFT.

```
data_TlAg2Sb
_chemical_formula_sum 'Tl1 Ag2 Sb1'
_cell_length_a 3.1719
_cell_length_b 3.1719
_cell_length_c 9.4466
_cell_angle_alpha 90.00
_cell_angle_beta 90.00
_cell_angle_gamma 90.00
_symmetry_space_group_name_H-M 'P 4 m m'
_symmetry_Int_Tables_number 99
_symmetry_space_group_name_Hall 'P 4 -2'
loop_
_atom_site_label
_atom_site_type_symbol
_atom_site_fract_x
_atom_site_fract_y
_atom_site_fract_z
Tl1 Tl 0.0000 0.0000 0.0000
Ag1 Ag 0.0000 0.0000 0.4508
Ag2 Ag 0.5000 0.5000 0.2549
Sb1 Sb 0.5000 0.5000 0.6764
```

Results
magnetization: 0.00 μB/cell
final energy: -2.929 eV per atom
formation energy (no corrections): 119 meV/atom
N(E_F): 0.428 states/eV per atom

---

# 4
Computed, not measured: Ta4FeRh after structural relaxation at the PBE level of DFT.

```
data_Ta4FeRh
_chemical_formula_sum 'Ta8 Fe2 Rh2'
_cell_length_a 6.1870
_cell_length_b 6.1870
_cell_length_c 5.1818
_cell_angle_alpha 90.00
_cell_angle_beta 90.00
_cell_angle_gamma 90.00
_symmetry_space_group_name_H-M 'P 4/m c c'
_symmetry_Int_Tables_number 124
_symmetry_space_group_name_Hall '-P 4 2c'
loop_
_atom_site_label
_atom_site_type_symbol
_atom_site_fract_x
_atom_site_fract_y
_atom_site_fract_z
Ta1 Ta 0.1511 0.3294 0.0000
Fe1 Fe 0.0000 0.0000 0.2500
Rh1 Rh 0.5000 0.5000 0.2500
```

Results
magnetization: 0.00 μB/cell
energy of formation from the pure elements: -226 meV per atom
final energy: -10.764 eV per atom
N(E_F): 0.921 states/eV per atom

---

# 5
Computed, not measured: CdTe2Pb after structural relaxation at the PBE level of DFT.

```
data_CdTe2Pb
_chemical_formula_sum 'Cd3 Te6 Pb3'
_cell_length_a 4.4167
_cell_length_b 4.4167
_cell_length_c 22.8654
_cell_angle_alpha 90.00
_cell_angle_beta 90.00
_cell_angle_gamma 120.00
_symmetry_space_group_name_H-M 'R 3 m'
_symmetry_Int_Tables_number 160
_symmetry_space_group_name_Hall 'R 3 -2"'
loop_
_atom_site_label
_atom_site_type_symbol
_atom_site_fract_x
_atom_site_fract_y
_atom_site_fract_z
Cd1 Cd 0.0000 0.0000 0.0000
Te1 Te 0.0000 0.0000 0.4149
Te2 Te 0.0000 0.0000 0.5990
Pb1 Pb 0.0000 0.0000 0.1689
```

Results
magnetization: 0.00 μB/cell
final energy: -3.032 eV per atom
formation energy (no corrections): -305 meV/atom

---

# 6
Computed, not measured: Na2LiZrO4 after structural relaxation at the PBE level of DFT.

```
data_Na2LiZrO4
_chemical_formula_sum 'Na4 Li2 Zr2 O8'
_cell_length_a 5.9478
_cell_length_b 5.9478
_cell_length_c 5.5986
_cell_angle_alpha 90.00
_cell_angle_beta 90.00
_cell_angle_gamma 90.00
_symmetry_space_group_name_H-M 'I -4 2 m'
_symmetry_Int_Tables_number 121
_symmetry_space_group_name_Hall 'I -4 2'
loop_
_atom_site_label
_atom_site_type_symbol
_atom_site_fract_x
_atom_site_fract_y
_atom_site_fract_z
Na1 Na 0.0000 0.5000 0.0000
Li1 Li 0.0000 0.0000 0.0000
Zr1 Zr 0.0000 0.0000 0.5000
O1 O 0.1779 0.1779 0.7396
```

Results
magnetization: 2.09 μB/cell
final energy: -6.002 eV per atom
formation energy (no corrections): -1886 meV/atom
N(E_F): 0.734 states/eV per atom

---

# 7
Computed, not measured: Ir2WSe after structural relaxation at the PBE level of DFT.

```
data_Ir2WSe
_chemical_formula_sum 'Ir4 W2 Se2'
_cell_length_a 9.7359
_cell_length_b 2.8696
_cell_length_c 4.5594
_cell_angle_alpha 90.00
_cell_angle_beta 91.46
_cell_angle_gamma 90.00
_symmetry_space_group_name_H-M 'C 1 m 1'
_symmetry_Int_Tables_number 8
_symmetry_space_group_name_Hall 'C -2y'
loop_
_atom_site_label
_atom_site_type_symbol
_atom_site_fract_x
_atom_site_fract_y
_atom_site_fract_z
Ir1 Ir 0.0000 0.0000 0.0000
Ir2 Ir 0.2300 0.5000 0.2576
W1 W 0.2859 0.0000 0.7790
Se1 Se 0.0106 0.5000 0.4915
```

Results
magnetization: 0.00 μB/cell
final energy: -8.281 eV per atom
formation energy (no corrections): 259 meV/atom
N(E_F): 0.585 states/eV per atom

---

# 8
Computed, not measured: CsZnI3 after structural relaxation at the PBE level of DFT.

```
data_CsZnI3
_chemical_formula_sum 'Cs4 Zn4 I12'
_cell_length_a 8.4174
_cell_length_b 16.6836
_cell_length_c 7.1120
_cell_angle_alpha 90.00
_cell_angle_beta 90.00
_cell_angle_gamma 90.00
_symmetry_space_group_name_H-M 'C m c 21'
_symmetry_Int_Tables_number 36
_symmetry_space_group_name_Hall 'C 2c -2'
loop_
_atom_site_label
_atom_site_type_symbol
_atom_site_fract_x
_atom_site_fract_y
_atom_site_fract_z
Cs1 Cs 0.0000 0.1520 0.0000
Zn1 Zn 0.0000 0.4250 0.1057
I1 I 0.0000 0.4230 0.4882
I2 I 0.2391 0.1481 0.5081
```

Results
magnetization: 0.00 μB/cell
final energy: -2.358 eV per atom
formation energy (no corrections): -1003 meV/atom
N(E_F): 0.000 states/eV per atom

---

# 9
Computed, not measured: Na2CaIrF8 after structural relaxation at the PBE level of DFT.

```
data_Na2CaIrF8
_chemical_formula_sum 'Na2 Ca1 Ir1 F8'
_cell_length_a 4.5683
_cell_length_b 7.1039
_cell_length_c 5.4482
_cell_angle_alpha 90.00
_cell_angle_beta 91.61
_cell_angle_gamma 90.00
_symmetry_space_group_name_H-M 'P 1 2/m 1'
_symmetry_Int_Tables_number 10
_symmetry_space_group_name_Hall '-P 2y'
loop_
_atom_site_label
_atom_site_type_symbol
_atom_site_fract_x
_atom_site_fract_y
_atom_site_fract_z
Na1 Na 0.0000 0.2431 0.0000
Ca1 Ca 0.5000 0.0000 0.5000
Ir1 Ir 0.5000 0.5000 0.5000
F1 F 0.1431 0.0000 0.2332
F2 F 0.1880 0.5000 0.2503
F3 F 0.3356 0.2870 0.6887
```

Results
magnetization: 1.00 μB/cell
final energy: -4.887 eV per atom
formation energy (no corrections): -2515 meV/atom
N(E_F): 0.552 states/eV per atom

---

# 10
Computed, not measured: Sc2FeHg after structural relaxation at the PBE level of DFT.

```
data_Sc2FeHg
_chemical_formula_sum 'Sc2 Fe1 Hg1'
_cell_length_a 3.3532
_cell_length_b 4.4268
_cell_length_c 5.6146
_cell_angle_alpha 90.00
_cell_angle_beta 107.27
_cell_angle_gamma 90.00
_symmetry_space_group_name_H-M 'P 1 m 1'
_symmetry_Int_Tables_number 6
_symmetry_space_group_name_Hall 'P -2y'
loop_
_atom_site_label
_atom_site_type_symbol
_atom_site_fract_x
_atom_site_fract_y
_atom_site_fract_z
Sc1 Sc 0.0000 0.0000 0.0000
Sc2 Sc 0.3084 0.5000 0.6184
Fe1 Fe 0.5679 0.5000 0.1366
Hg1 Hg 0.7245 0.0000 0.4501
```

Results
magnetization: 1.41 μB/cell
energy of formation from the pure elements: -90 meV per atom
final energy: -5.447 eV per atom
N(E_F): 1.320 states/eV per atom